# Sm6Bi2Te3As

Sm6Bi2Te3As after structural relaxation (PBE, Alexandria via LeMat-Bulk).

Values from the calculation:
formation energy without anion corrections: -1.286 eV/atom
symmetry: C2/m (12)
calculated total energy: -5.47 eV/atom

Cell and atoms, written as extended XYZ:
```
12
Lattice="-3.374 1.920 2.127 -2.619 -7.983 3.050 7.812 2.168 5.831" Properties=species:S:1:pos:R:3 pbc="T T T"
Te -0.101 -5.612 4.905
Sm 3.014 -1.235 5.896
Sm -1.195 -2.661 5.112
Bi 0.648 -2.277 7.689
Sm -2.021 -6.194 2.384
As -1.687 0.960 1.063
Sm -0.009 1.304 3.414
Te 1.920 1.716 6.104
Sm 3.840 2.298 8.624
Te -2.997 -3.032 2.589
Bi 1.171 -1.620 3.319
Sm 1.828 -5.201 7.595
```